## HfAlRu (PBE)

Data for an optimized crystal structure of HfAlRu.

Lattice parameters (Å, degrees): 5.152 5.152 5.152 119.50 93.89 116.09
Atoms (fractional coordinates):
Hf (0.116, 0.250, 0.366)
Hf (0.884, 0.750, 0.634)
Al (0.495, 0.495, 0.000)
Al (0.495, 0.995, 0.500)
Ru (0.456, 0.970, 0.986)
Ru (0.984, 0.470, 0.014)

Values from the calculation:
electronic total energy: -8.26 eV/atom
density of states at the Fermi level: 5.73 states/eV per cell
space-group type: No. 46

## TbGaO3 (PBE)

Data for an optimized crystal structure of TbGaO3.

Lattice parameters (Å, degrees): 5.380 5.380 5.380 61.50 61.50 61.50
Atoms (fractional coordinates):
Tb (0.250, 0.250, 0.250)
Tb (0.750, 0.750, 0.750)
Ga (0.000, 0.000, 0.000)
Ga (0.500, 0.500, 0.500)
O (0.158, 0.750, 0.342)
O (0.250, 0.658, 0.842)
O (0.342, 0.158, 0.750)
O (0.658, 0.842, 0.250)
O (0.750, 0.342, 0.158)
O (0.842, 0.250, 0.658)

Values from the calculation:
density of states at the Fermi level: 0.00 states/eV per cell
ΔE_f (raw): -2.65 eV/atom
space-group type: No. 167

## Ca2FeRe (PBE)

Data for an optimized crystal structure of Ca2FeRe.

Lattice parameters (Å, degrees): 4.992 4.992 4.992 60.00 60.00 60.00
Atoms (fractional coordinates):
Ca (0.250, 0.250, 0.250)
Ca (0.750, 0.750, 0.750)
Fe (0.000, 0.000, 0.000)
Re (0.500, 0.500, 0.500)

Values from the calculation:
electronic total energy: -5.18 eV/atom
density of states at the Fermi level: 6.05 states/eV per cell
space-group type: No. 225

## Ce2TiAu (PBE)

Data for an optimized crystal structure of Ce2TiAu.

Lattice parameters (Å, degrees): 4.150 4.150 4.999 90.00 90.00 90.00
Atoms (fractional coordinates):
Ce (0.000, 0.500, 0.000)
Ce (0.500, 0.000, 0.000)
Ti (0.000, 0.000, 0.500)
Au (0.500, 0.500, 0.500)

Values from the calculation:
electronic total energy: -5.88 eV/atom
density of states at the Fermi level: 11.33 states/eV per cell
space-group type: No. 123

## ScReSb (PBE)

Data for an optimized crystal structure of ScReSb.

Lattice parameters (Å, degrees): 4.621 4.621 3.147 90.00 90.00 120.00
Atoms (fractional coordinates):
Sc (0.000, 0.000, 0.000)
Re (0.667, 0.333, 0.500)
Sb (0.333, 0.667, 0.500)

Values from the calculation:
density of states at the Fermi level: 3.27 states/eV per cell
ΔE_f (raw): -0.02 eV/atom
space-group type: No. 187

## PuBeTe2 (PBE)

Data for an optimized crystal structure of PuBeTe2.

Lattice parameters (Å, degrees): 9.533 9.533 9.533 22.03 22.03 22.03
Atoms (fractional coordinates):
Pu (0.000, 0.000, 0.000)
Be (0.500, 0.500, 0.500)
Te (0.112, 0.112, 0.112)
Te (0.888, 0.888, 0.888)

Values from the calculation:
density of states at the Fermi level: 8.22 states/eV per cell
ΔE_f (raw): 0.07 eV/atom
space-group type: No. 166